NiHg2Te | GGA-PBEsol | relaxed

a b c (Å): 3.1063 3.1063 8.7433
angles (deg): 90.00 90.00 90.00
Last column: nearest neighbours and their distance in Å.
Fractional positions:
Ni  0.0000  0.0000  0.0000  4 Te 2.59, 4 Hg 2.90
Hg  0.0000  0.0000  0.4969  8 Hg 3.11-3.33
Hg  0.5000  0.5000  0.7831  4 Ni 2.90, 4 Hg 3.11
Te  0.5000  0.5000  0.1578  4 Ni 2.59

The total magnetic moment comes out at 0.0 Bohr magnetons per cell. The value obtained for the uncorrected formation energy is 0.106 eV/atom.

Li3Al2 | GGA-PBEsol | relaxed

a b c (Å): 5.3212 5.3212 5.3212
angles (deg): 49.14 49.14 49.14
Last column: nearest neighbours and their distance in Å.
Fractional positions:
Li  0.0000  0.0000  0.0000  6 Li 2.73, 2 Al 2.77
Li  0.4029  0.4029  0.4029  4 Al 2.71-2.87, 4 Li 2.72-2.73
Li  0.5971  0.5971  0.5971  4 Al 2.71-2.87, 4 Li 2.72-2.73
Al  0.1982  0.1982  0.1982  3 Al 2.70, 5 Li 2.71-2.87
Al  0.8018  0.8018  0.8018  3 Al 2.70, 5 Li 2.71-2.87

The total magnetic moment comes out at 0.0 Bohr magnetons per cell. Its total energy is -14.97 eV/cell.

KNa2HfIn | GGA-PBEsol | relaxed

a b c (Å): 4.9826 4.9826 5.9072
angles (deg): 90.00 90.00 90.00
Last column: nearest neighbours and their distance in Å.
Fractional positions:
K  0.0000  0.0000  0.0000  4 Na 2.49
Na  0.0000  0.5000  0.0000  2 K 2.49
Na  0.5000  0.0000  0.0000  2 K 2.49
Hf  0.0000  0.0000  0.5000  2 K 2.95
In  0.5000  0.5000  0.5000  4 Hf 3.52, 8 Na 3.86

The total magnetic moment comes out at 0.0 Bohr magnetons per cell. Its total energy is -10.97 eV/cell.

Li11TiAs5 | GGA-PBEsol | relaxed

a b c (Å): 7.3395 7.3395 10.4756
angles (deg): 116.76 116.76 33.32
Last column: nearest neighbours and their distance in Å.
Fractional positions:
Li  0.0000  0.0000  0.0000  4 As 2.60-2.67, 3 Li 2.81
Li  0.0011  0.0011  0.5141  4 As 2.56-2.71, 5 Li 2.67-2.80
Li  0.1893  0.1893  0.2670  5 Li 2.56-2.84, 4 As 2.66-2.69
Li  0.1917  0.1917  0.5128  8 Li 2.56-2.86, 1 As 2.83
Li  0.2210  0.2210  0.7930  4 As 2.54-2.62, 1 Li 2.77
Li  0.4034  0.4034  0.5858  4 As 2.55-2.69, 4 Li 2.61-2.80
Li  0.4089  0.4089  0.0844  4 As 2.64-2.77, 5 Li 2.68-2.95
Li  0.4111  0.4111  0.3414  8 Li 2.61-2.84, 2 As 2.78
Li  0.6001  0.6001  0.3506  3 As 2.50-2.51, 5 Li 2.61-2.79
Li  0.7948  0.7948  0.1799  4 As 2.55-2.67, 2 Li 2.71
Li  0.8238  0.8238  0.6935  4 As 2.57-2.79, 4 Li 2.85-2.86
Ti  0.6016  0.6016  0.8760  4 As 2.41-2.54
As  0.1930  0.1930  0.0154  6 Li 2.54-2.77, 2 Ti 2.54
As  0.4190  0.4190  0.8380  1 Ti 2.41, 7 Li 2.55-2.65
As  0.6121  0.6121  0.6484  1 Ti 2.46, 5 Li 2.60-2.69
As  0.7987  0.7987  0.4311  8 Li 2.51-2.69
As  0.9950  0.9950  0.2517  10 Li 2.50-2.78

The total magnetic moment comes out at 0.0 Bohr magnetons per cell. Its total energy is -67.54 eV/cell.

MgZn2Cu9 | GGA-PBEsol | relaxed

a b c (Å): 8.2904 8.2904 8.2904
angles (deg): 33.56 33.56 33.56
Last column: nearest neighbours and their distance in Å.
Fractional positions:
Mg  0.0000  0.0000  0.0000  6 Cu 2.76
Zn  0.1468  0.1468  0.1468  12 Cu 2.73-2.80, 3 Zn 2.92
Zn  0.8532  0.8532  0.8532  12 Cu 2.73-2.80, 3 Zn 2.92
Cu  0.0817  0.5877  0.5877  7 Cu 2.36-2.44
Cu  0.3337  0.3337  0.3337  6 Cu 2.44
Cu  0.4123  0.4123  0.9183  7 Cu 2.36-2.44
Cu  0.4123  0.9183  0.4123  7 Cu 2.36-2.44
Cu  0.5000  0.5000  0.5000  6 Cu 2.36
Cu  0.5877  0.0817  0.5877  7 Cu 2.36-2.44
Cu  0.5877  0.5877  0.0817  7 Cu 2.36-2.44
Cu  0.6663  0.6663  0.6663  6 Cu 2.44
Cu  0.9183  0.4123  0.4123  7 Cu 2.36-2.44

The total magnetic moment comes out at 0.0 Bohr magnetons per cell. Its total energy is -43.60 eV/cell.

MgPt2Se | GGA-PBEsol | relaxed

a b c (Å): 4.7573 4.7573 4.7821
angles (deg): 102.11 102.11 37.24
Last column: nearest neighbours and their distance in Å.
Fractional positions:
Mg  0.0000  0.0000  0.0000  6 Pt 2.74-2.78, 4 Se 2.83, 2 Mg 3.04
Pt  0.2472  0.2472  0.7532  3 Mg 2.74-2.78, 3 Se 2.75-2.81, 6 Pt 2.80-3.04
Pt  0.7528  0.7528  0.2468  3 Mg 2.74-2.78, 3 Se 2.75-2.81, 6 Pt 2.80-3.04
Se  0.5000  0.5000  0.5000  6 Pt 2.75-2.81, 4 Mg 2.83, 2 Se 3.04

The total magnetic moment comes out at 0.0 Bohr magnetons per cell. The value obtained for the energy above the most stable polymorph in this dataset is 0.000 eV/atom. The value obtained for the uncorrected formation energy is -0.330 eV/atom.

KZnHg2 | GGA-PBEsol | relaxed

a b c (Å): 4.7477 4.7477 4.5737
angles (deg): 90.00 90.00 90.00
Last column: nearest neighbours and their distance in Å.
Fractional positions:
K  0.0000  0.0000  0.0000  8 Hg 3.30, 4 Zn 3.36
Zn  0.5000  0.5000  0.0000  8 Hg 3.30, 4 K 3.36
Hg  0.0000  0.5000  0.5000  4 Zn 3.30, 4 K 3.30, 4 Hg 3.36
Hg  0.5000  0.0000  0.5000  4 Zn 3.30, 4 K 3.30, 4 Hg 3.36

The total magnetic moment comes out at 0.0 Bohr magnetons per cell. Its total energy is -3.75 eV/cell.

Sr2ZrSiRu | GGA-PBEsol | relaxed

a b c (Å): 5.5957 5.5957 4.5758
angles (deg): 90.00 90.00 90.00
Last column: nearest neighbours and their distance in Å.
Fractional positions:
Sr  0.0000  0.5000  0.0000  2 Ru 2.80
Sr  0.5000  0.0000  0.0000  2 Ru 2.80
Zr  0.0000  0.0000  0.5000  8 Sr 3.61, 4 Si 3.96
Si  0.5000  0.5000  0.5000  2 Ru 2.29
Ru  0.5000  0.5000  0.0000  2 Si 2.29

The total magnetic moment comes out at 2.0 Bohr magnetons per cell. The value obtained for the uncorrected formation energy is 0.669 eV/atom.

CaCeN2 | GGA-PBEsol | relaxed

a b c (Å): 3.5567 3.5567 4.7569
angles (deg): 90.00 90.00 90.00
Last column: nearest neighbours and their distance in Å.
Fractional positions:
Ca  0.0000  0.0000  0.0000  6 N 2.38-2.51
Ce  0.5000  0.5000  0.5000  6 N 2.38-2.51
N  0.0000  0.0000  0.5000  2 Ca 2.38, 4 Ce 2.51
N  0.5000  0.5000  0.0000  2 Ce 2.38, 4 Ca 2.51

The total magnetic moment comes out at 0.0 Bohr magnetons per cell. The value obtained for the uncorrected formation energy is -1.331 eV/atom.

BaLu2Te4 | GGA-PBEsol | relaxed

a b c (Å): 13.4452 4.3514 15.8330
angles (deg): 90.00 90.00 90.00
Last column: nearest neighbours and their distance in Å.
Fractional positions:
Ba  0.2380  0.2500  0.1710  8 Te 3.48-3.64
Ba  0.2620  0.7500  0.6710  8 Te 3.48-3.64
Ba  0.7380  0.2500  0.3290  8 Te 3.48-3.64
Ba  0.7620  0.7500  0.8290  8 Te 3.48-3.64
Lu  0.0578  0.2500  0.3904  6 Te 2.97-3.03
Lu  0.0804  0.2500  0.9040  6 Te 2.97-3.04
Lu  0.4196  0.7500  0.4039  6 Te 2.97-3.04
Lu  0.4422  0.7500  0.8904  6 Te 2.97-3.03
Lu  0.5578  0.2500  0.1096  6 Te 2.97-3.03
Lu  0.5804  0.2500  0.5960  6 Te 2.97-3.04
Lu  0.9196  0.7500  0.0960  6 Te 2.97-3.04
Lu  0.9422  0.7500  0.6096  6 Te 2.97-3.03
Te  0.0276  0.7500  0.7841  3 Lu 2.97-2.99
Te  0.0907  0.2500  0.5756  3 Lu 2.97-3.00
Te  0.1268  0.7500  0.0279  3 Lu 2.99-3.00
Te  0.2046  0.7500  0.3441  3 Lu 3.03-3.04
Te  0.2954  0.2500  0.8441  3 Lu 3.03-3.04
Te  0.3732  0.2500  0.5279  3 Lu 2.99-3.00
Te  0.4093  0.7500  0.0756  3 Lu 2.97-3.00
Te  0.4724  0.2500  0.2841  3 Lu 2.97-2.99
Te  0.5276  0.7500  0.7159  3 Lu 2.97-2.99
Te  0.5907  0.2500  0.9244  3 Lu 2.97-3.00
Te  0.6268  0.7500  0.4721  3 Lu 2.99-3.00
Te  0.7046  0.7500  0.1559  3 Lu 3.03-3.04
Te  0.7954  0.2500  0.6559  3 Lu 3.03-3.04
Te  0.8732  0.2500  0.9721  3 Lu 2.99-3.00
Te  0.9093  0.7500  0.4244  3 Lu 2.97-3.00
Te  0.9724  0.2500  0.2159  3 Lu 2.97-2.99

The total magnetic moment comes out at 0.0 Bohr magnetons per cell. The value obtained for the uncorrected formation energy is -1.484 eV/atom.

YCo2BiSb | GGA-PBEsol | relaxed

a b c (Å): 4.6501 4.6501 5.6528
angles (deg): 90.00 90.00 90.00
Last column: nearest neighbours and their distance in Å.
Fractional positions:
Y  0.0000  0.0000  0.0000  2 Sb 2.83
Co  0.0000  0.5000  0.5000  2 Sb 2.33
Co  0.5000  0.0000  0.5000  2 Sb 2.33
Bi  0.5000  0.5000  0.0000  4 Y 3.29, 8 Co 3.66
Sb  0.0000  0.0000  0.5000  4 Co 2.33

The total magnetic moment comes out at 3.0 Bohr magnetons per cell. The value obtained for the uncorrected formation energy is 0.514 eV/atom.

MnTc3Ir | GGA-PBEsol | relaxed

a b c (Å): 4.2585 4.2585 4.2585
angles (deg): 90.00 90.00 90.00
Last column: nearest neighbours and their distance in Å.
Fractional positions:
Mn  0.0000  0.0000  0.0000  6 Tc 2.13
Tc  0.0000  0.0000  0.5000  2 Mn 2.13
Tc  0.0000  0.5000  0.0000  2 Mn 2.13
Tc  0.5000  0.0000  0.0000  2 Mn 2.13
Ir  0.5000  0.5000  0.5000  12 Tc 3.01

The total magnetic moment comes out at 0.0 Bohr magnetons per cell. Its total energy is -46.87 eV/cell.

HfHS2Br | GGA-PBEsol | relaxed

a b c (Å): 3.9373 3.9373 4.7411
angles (deg): 90.00 90.00 90.00
Last column: nearest neighbours and their distance in Å.
Fractional positions:
Hf  0.0000  0.0000  0.0000  4 Br 2.78, 8 S 3.08
H  0.5000  0.5000  0.5000  4 S 1.97
S  0.0000  0.5000  0.5000  2 H 1.97
S  0.5000  0.0000  0.5000  2 H 1.97
Br  0.5000  0.5000  0.0000  2 H 2.37

The total magnetic moment comes out at 0.0 Bohr magnetons per cell. Its total energy is -23.58 eV/cell.

LaZrRu2 | GGA-PBEsol | relaxed

a b c (Å): 4.6539 4.6539 4.6539
angles (deg): 60.00 60.00 60.00
Last column: nearest neighbours and their distance in Å.
Fractional positions:
La  0.0000  0.0000  0.0000  4 Zr 2.85, 4 Ru 2.85
Zr  0.2500  0.2500  0.2500  4 La 2.85, 4 Ru 2.85
Ru  0.5000  0.5000  0.5000  4 Zr 2.85, 4 Ru 2.85
Ru  0.7500  0.7500  0.7500  4 La 2.85, 4 Ru 2.85

The total magnetic moment comes out at 0.0 Bohr magnetons per cell. Its total energy is -34.25 eV/cell.

CrS2N | GGA-PBEsol | relaxed

a b c (Å): 7.0162 7.0162 7.0162
angles (deg): 24.22 24.22 24.22
Last column: nearest neighbours and their distance in Å.
Fractional positions:
Cr  0.0000  0.0000  0.0000  2 S 2.07
S  0.1014  0.1014  0.1014  1 Cr 2.07, 3 N 2.16
S  0.8986  0.8986  0.8986  1 Cr 2.07, 3 N 2.16
N  0.5000  0.5000  0.5000  6 S 2.16

The total magnetic moment comes out at 0.0 Bohr magnetons per cell. The value obtained for the uncorrected formation energy is 1.178 eV/atom.

MgFe2Ru | GGA-PBEsol | relaxed

a b c (Å): 2.6362 2.6362 7.4546
angles (deg): 90.00 90.00 90.00
Last column: nearest neighbours and their distance in Å.
Fractional positions:
Mg  0.0000  0.0000  0.0000  4 Mg 2.64, 8 Fe 2.75
Fe  0.5000  0.5000  0.2707  4 Ru 2.53, 4 Fe 2.64, 4 Mg 2.75
Fe  0.5000  0.5000  0.7293  4 Ru 2.53, 4 Fe 2.64, 4 Mg 2.75
Ru  0.0000  0.0000  0.5000  8 Fe 2.53, 4 Ru 2.64

The total magnetic moment comes out at 3.1 Bohr magnetons per cell. Its total energy is -28.83 eV/cell.

CuAu2Cl2 | GGA-PBEsol | relaxed

a b c (Å): 8.2221 8.2221 8.2221
angles (deg): 154.53 154.53 36.33
Last column: nearest neighbours and their distance in Å.
Fractional positions:
Cu  0.0000  0.0000  0.0000  8 Cl 2.92
Au  0.2500  0.7500  0.5000  4 Au 2.56
Au  0.7500  0.2500  0.5000  4 Au 2.56
Cl  0.4109  0.4109  0.0000  1 Cl 2.79, 4 Cu 2.92, 4 Au 3.10
Cl  0.5891  0.5891  0.0000  1 Cl 2.79, 4 Cu 2.92, 4 Au 3.10

The total magnetic moment comes out at 0.0 Bohr magnetons per cell. The value obtained for the uncorrected formation energy is 0.406 eV/atom.

Mg2TlHg | GGA-PBEsol | relaxed

a b c (Å): 3.4029 3.4029 7.6108
angles (deg): 90.00 90.00 90.00
Last column: nearest neighbours and their distance in Å.
Fractional positions:
Mg  0.0000  0.0000  0.2274  4 Hg 2.96, 4 Tl 3.18
Mg  0.0000  0.0000  0.7726  4 Hg 2.96, 4 Tl 3.18
Tl  0.5000  0.5000  0.5000  8 Mg 3.18, 4 Tl 3.40
Hg  0.5000  0.5000  0.0000  8 Mg 2.96

The total magnetic moment comes out at 0.0 Bohr magnetons per cell. Its total energy is -7.40 eV/cell.

SrBeGa2H | GGA-PBEsol | relaxed

a b c (Å): 4.6200 4.6200 3.9986
angles (deg): 90.00 90.00 90.00
Last column: nearest neighbours and their distance in Å.
Fractional positions:
Sr  0.0000  0.0000  0.0000  8 Ga 3.06, 4 Be 3.27
Be  0.5000  0.5000  0.0000  2 H 2.00
Ga  0.0000  0.5000  0.5000  2 H 2.31
Ga  0.5000  0.0000  0.5000  2 H 2.31
H  0.5000  0.5000  0.5000  2 Be 2.00

The total magnetic moment comes out at 0.0 Bohr magnetons per cell. Its total energy is -14.25 eV/cell.

Zn2SbRh | GGA-PBEsol | relaxed

a b c (Å): 4.9675 4.9675 4.9675
angles (deg): 133.74 133.74 67.50
Last column: nearest neighbours and their distance in Å.
Fractional positions:
Zn  0.2500  0.7500  0.5000  4 Zn 2.76, 4 Sb 2.84, 4 Rh 2.84
Zn  0.7500  0.2500  0.5000  4 Zn 2.76, 4 Sb 2.84, 4 Rh 2.84
Sb  0.0000  0.0000  0.0000  4 Rh 2.76, 8 Zn 2.84
Rh  0.5000  0.5000  0.0000  4 Sb 2.76, 8 Zn 2.84

The total magnetic moment comes out at 0.0 Bohr magnetons per cell. The value obtained for the uncorrected formation energy is -0.092 eV/atom.